Below is an optimized crystal structure of Zr4CuNi, with properties calculated at the PBEsol level.

Calculated values
Formation energy   -1.38 eV per formula unit
Theoretical density   7.494 g cm⁻³
Energy   -48.230 eV/cell
Symmetry   I422

```
Zr4CuNi
1.0
5.077 0.000 0.000
2.538 4.611 0.000
2.538 0.000 4.611
Zr Cu Ni
4 1 1
Direct
0.410 0.179 0.500 Zr
0.910 0.500 0.179 Zr
0.590 0.500 0.821 Zr
0.090 0.821 0.500 Zr
0.500 0.000 0.000 Cu
0.000 0.000 0.000 Ni
```

***

Below is an optimized crystal structure of Zr2CuNi, with properties calculated at the PBEsol level.

Calculated values
Formation energy   -1.14 eV per formula unit
Theoretical density   7.635 g cm⁻³
Energy   -29.809 eV/cell
Symmetry   Pm

```
Zr2CuNi
1.0
-0.586 -1.145 3.022
0.318 -3.823 -1.387
5.072 0.485 -0.175
Zr Cu Ni
2 1 1
Direct
0.999 0.000 0.911 Zr
0.748 0.500 0.339 Zr
0.311 0.000 0.472 Cu
0.443 0.500 0.779 Ni
```

***

Below is an optimized crystal structure of Zr2CuNi, with properties calculated at the PBEsol level.

Calculated values
Formation energy   -0.84 eV per formula unit
Theoretical density   7.731 g cm⁻³
Energy   -29.508 eV/cell
Symmetry   P4mm

```
Zr2CuNi
1.0
3.237 0.000 0.000
0.000 3.237 0.000
0.000 0.000 6.246
Cu Zr Ni
1 2 1
Direct
0.000 0.000 0.529 Cu
0.500 0.500 0.286 Zr
0.000 0.000 0.956 Zr
0.500 0.500 0.729 Ni
```

***

Below is an optimized crystal structure of Cu3O4, with properties calculated at the PBEsol level.

Calculated values
Formation energy from raw total energies   -0.43 eV/atom
Theoretical density   5.578 g cm⁻³
Energy   -74.046 eV/cell
Symmetry   Ibam

```
Cu3O4
1.0
-4.326 -3.513 1.806
5.331 -2.305 -0.770
0.937 3.994 4.182
O Cu
8 6
Direct
0.088 0.257 0.346 O
0.562 0.750 0.812 O
0.912 0.743 0.654 O
0.412 0.757 0.169 O
0.938 0.750 0.188 O
0.438 0.250 0.188 O
0.062 0.250 0.812 O
0.588 0.243 0.831 O
0.000 0.000 0.000 Cu
0.500 0.500 0.500 Cu
0.000 0.500 0.000 Cu
0.000 0.000 0.500 Cu
0.500 0.500 0.000 Cu
0.500 0.000 0.000 Cu
```

***

Below is an optimized crystal structure of Cu3O4, with properties calculated at the PBEsol level.

Calculated values
Formation energy from raw total energies   -0.38 eV/atom
Theoretical density   4.855 g cm⁻³
Energy   -73.345 eV/cell
Symmetry   Fm-3m

```
Cu3O4
1.0
-0.649 -0.583 6.207
5.072 -0.166 3.680
1.307 4.845 3.757
Cu O
6 8
Direct
0.500 0.500 0.000 Cu
0.500 0.000 0.000 Cu
0.000 0.500 0.500 Cu
0.500 0.000 0.500 Cu
0.000 0.000 0.500 Cu
0.000 0.500 0.000 Cu
0.142 0.573 0.142 O
0.858 0.858 0.858 O
0.142 0.142 0.142 O
0.573 0.142 0.142 O
0.427 0.858 0.858 O
0.858 0.858 0.427 O
0.858 0.427 0.858 O
0.142 0.142 0.573 O
```

***

Below is an optimized crystal structure of Cu4O3, with properties calculated at the PBEsol level.

Calculated values
Formation energy from raw total energies   -0.48 eV/atom
Theoretical density   6.151 g cm⁻³
Energy   -72.883 eV/cell
Symmetry   I4_1/amd

```
Cu4O3
1.0
-4.349 2.973 -2.392
3.484 -3.652 -3.875
-2.392 -4.950 -1.804
Cu O
8 6
Direct
0.375 0.250 0.375 Cu
0.875 0.250 0.875 Cu
0.375 0.250 0.875 Cu
0.875 0.250 0.375 Cu
0.375 0.750 0.875 Cu
0.875 0.750 0.375 Cu
0.375 0.750 0.375 Cu
0.875 0.750 0.875 Cu
0.500 0.000 0.500 O
0.512 0.023 0.988 O
0.988 0.977 0.512 O
0.762 0.523 0.238 O
0.250 0.500 0.250 O
0.238 0.477 0.762 O
```

***

Below is an optimized crystal structure of CuOsO3, with properties calculated at the PBEsol level.

Calculated values
Formation energy from raw total energies   0.73 eV/atom
Theoretical density   9.741 g cm⁻³
Energy   -28.654 eV/cell
Symmetry   Pm-3m

```
CuOsO3
1.0
-1.105 -0.303 -3.538
3.551 -0.065 -1.104
0.028 -3.706 0.309
Cu Os O
1 1 3
Direct
0.000 0.000 0.000 Cu
0.500 0.500 0.500 Os
0.000 0.000 0.500 O
0.000 0.500 0.000 O
0.500 0.000 0.000 O
```

***

Below is an optimized crystal structure of CuOsO2, with properties calculated at the PBEsol level.

Calculated values
Formation energy from raw total energies   0.36 eV/atom
Theoretical density   12.628 g cm⁻³
Energy   -25.608 eV/cell
Symmetry   Fm-3m

```
CuOsO2
1.0
3.760 0.000 0.000
1.880 3.256 0.000
1.880 1.085 3.070
Os Cu O
1 1 2
Direct
0.500 0.500 0.500 Os
0.000 0.000 0.000 Cu
0.250 0.250 0.250 O
0.750 0.750 0.750 O
```